Record 1
5
Lattice="-1.208 -4.915 0.543 2.816 -1.143 -4.083 4.064 -0.669 2.990" Properties=species:S:1:pos:R:3 comment="BaNiIr3 | the Alexandria database | PBE | optimized geometry" space_group="No. 221" relative_energy_mev_per_atom=2204.3 e_form_kcal_per_mol_atoms=72.23 pbc="T T T"
Ni 2.836 -3.363 -0.275
Ir 1.408 -0.572 -2.042
Ir 2.032 -0.335 1.495
Ir -0.604 -2.457 0.271
Ba 0.000 0.000 0.000

Record 2
6
Lattice="-1.195 -1.349 4.204 -2.819 -4.310 -2.184 7.107 -2.234 1.303" Properties=species:S:1:pos:R:3 comment="PbCl2 | the Alexandria database | PBE | optimized geometry" space_group="No. 11" e_tot_ev_per_cell=-21.76 pbc="T T T"
Pb -1.045 -4.396 -0.463
Pb 4.137 -3.497 3.787
Cl 3.706 -6.243 2.783
Cl -0.614 -1.650 0.540
Cl 0.079 -5.140 2.106
Cl 3.014 -2.753 1.218

Number 1: D(E_F) 2.550 states/eV per atom, spin magnetization 2.7 μB per formula unit. Number 2: D(E_F) 0.000 states/eV per atom, spin magnetization 0.0 μB per formula unit.